Record 1
Compound: Ta3Re
Source: Alexandria via LeMat-Bulk
Functional: GGA-PBE
Structure: relaxed

a b c (Å): 5.526 9.478 5.424
angles (deg): 90.00 90.00 90.00
Space group Pnma (No. 62)
Symmetry-distinct sites (fractional):
Ta  0.004  0.250  0.135 (multiplicity 4)
Ta  0.235  0.019  0.635 (multiplicity 8)
Re  0.048  0.750  0.362 (multiplicity 4)

Results
N(E_F), states/eV per atom: 0.915
Spin magnetization, μB/cell: 0.00
Energy of formation from the pure elements, eV per atom: 0.05
V, Å³ per cell: 284.06


Record 2
Compound: Ta5Re4
Source: Alexandria via LeMat-Bulk
Functional: GGA-PBE
Structure: relaxed

a b c (Å): 8.0849 8.0849 5.4171
angles (deg): 90.00 90.00 120.00
Space group P6_3/mcm (No. 193)
Symmetry-distinct sites (fractional):
Ta  0.0000  0.2933  0.2500 (multiplicity 6)
Ta  0.3333  0.6667  0.0000 (multiplicity 4)
Re  0.0000  0.0000  0.0000 (multiplicity 2)
Re  0.0000  0.3732  0.7500 (multiplicity 6)

Results
N(E_F), states/eV per atom: 0.925
E above lowest polymorph, meV per atom: 259.8
Spin magnetization, μB/cell: 0.00
Energy of formation from the pure elements, eV per atom: 0.08
V, Å³ per cell: 306.65


Record 3
Compound: Ta3Re
Source: Alexandria via LeMat-Bulk
Functional: GGA-PBE
Structure: relaxed

a b c (Å): 3.262 4.681 9.060
angles (deg): 90.00 90.00 90.00
Space group Cmmm (No. 65)
Symmetry-distinct sites (fractional):
Ta  0.000  0.000  0.000 (multiplicity 2)
Ta  0.000  0.500  0.261 (multiplicity 4)
Re  0.000  0.000  0.500 (multiplicity 2)

Results
N(E_F), states/eV per atom: 0.866
Spin magnetization, μB/cell: 0.00
Energy of formation from the pure elements, eV per atom: -0.13
V, Å³ per cell: 138.37


| no. | calculated total energy (eV per atom) |
| --- | --- |
| 1 | -11.95 |
| 2 | -12.04 |
| 3 | -12.14 |